Below is ZnSnTeO5 after structural relaxation, with properties calculated at the PBE level.

Output
formation energy from raw total energies	-1.170	eV per atom
D(E_F)	0.000	states/eV/atom
crystal system	monoclinic

abc: 6.9691 10.1094 7.1857
angles: 90.00 109.13 90.00
With the nearest neighbours (Å) after each atom.
Space group C2/c (No. 15)
One atom of each set of equivalent atoms:
Zn: 0.0000 0.0040 0.2500 [4 per cell]  3 O 1.95-1.99
Sn: 0.2500 0.2500 0.0000 [4 per cell]  6 O 2.09-2.13
Te: 0.0000 0.4955 0.2500 [4 per cell]  2 O 1.93
O: 0.0000 0.1932 0.7500 [4 per cell]  1 Zn 1.99, 2 Sn 2.13
O: 0.0319 0.3621 0.0704 [8 per cell]  1 Te 1.93, 1 Sn 2.09
O: 0.1837 0.0675 0.1154 [8 per cell]  1 Zn 1.95, 1 Sn 2.13

***

Below is TaHI2 after structural relaxation, with properties calculated at the PBE level.

Output
crystal system	monoclinic

abc: 7.9186 3.8046 9.0115
angles: 90.00 105.78 90.00
With the nearest neighbours (Å) after each atom.
Space group Pm (No. 6)
One atom of each set of equivalent atoms:
Ta: 0.0000 0.0000 0.0000 [1 per cell]  1 H 1.86
Ta: 0.0726 0.5000 0.2285 [1 per cell]  1 H 1.85
H: 0.1239 0.5000 0.0403 [1 per cell]  1 Ta 1.85
H: 0.1691 0.0000 0.1895 [1 per cell]  1 Ta 1.86
I: 0.2070 0.0000 0.8101 [1 per cell]  1 Ta 2.67
I: 0.3984 0.5000 0.4186 [1 per cell]  1 Ta 2.68
I: 0.7242 0.5000 0.8850 [1 per cell]  2 Ta 2.87, 1 H 3.09
I: 0.8507 0.0000 0.3202 [1 per cell]  2 Ta 2.86, 1 H 3.06

***

For the records above, the corresponding uncorrected energy values read -0.1956, -0.1765 hartree per atom.
For the records above, the corresponding total magnetic moment values read 0.00, 0.00 Bohr magnetons per cell.